Record 1
# ThMg2Cd9 (PBE-GGA, relaxed)
data_ThMg2Cd9
_chemical_formula_sum 'Th4 Mg8 Cd36'
_space_group_name_H-M_alt 'I 41/a m d'
_space_group_IT_number 141
_cell_length_a 11.849
_cell_length_b 11.849
_cell_length_c 7.750
_cell_angle_alpha 90.00
_cell_angle_beta 90.00
_cell_angle_gamma 90.00
loop_
_space_group_symop_operation_xyz
'x,y,z'
'-x,-y,-z'
'-y+1/4,x+3/4,z+1/4'
'y+1/4,-x+3/4,-z+1/4'
'-x+1/2,-y,z+1/2'
'x+1/2,y,-z+1/2'
'y+1/4,-x+1/4,z+3/4'
'-y+1/4,x+1/4,-z+3/4'
'x,-y,-z'
'-x,y,z'
'-y+1/4,-x+1/4,-z+3/4'
'y+1/4,x+1/4,z+3/4'
'-x+1/2,y,-z+1/2'
'x+1/2,-y,z+1/2'
'y+1/4,x+3/4,-z+1/4'
'-y+1/4,-x+3/4,z+1/4'
'x+1/2,y+1/2,z+1/2'
'-x+1/2,-y+1/2,-z+1/2'
'-y+3/4,x+1/4,z+3/4'
'y+3/4,-x+1/4,-z+3/4'
'-x,-y+1/2,z'
'x,y+1/2,-z'
'y+3/4,-x+3/4,z+1/4'
'-y+3/4,x+3/4,-z+1/4'
'x+1/2,-y+1/2,-z+1/2'
'-x+1/2,y+1/2,z+1/2'
'-y+3/4,-x+3/4,-z+1/4'
'y+3/4,x+3/4,z+1/4'
'-x,y+1/2,-z'
'x,-y+1/2,z'
'y+3/4,x+1/4,-z+3/4'
'-y+3/4,-x+1/4,z+3/4'
loop_
_atom_site_label
_atom_site_type_symbol
_atom_site_fract_x
_atom_site_fract_y
_atom_site_fract_z
_atom_site_occupancy
Th1 Th 0.000 0.250 0.375 1
Mg1 Mg 0.000 0.000 0.000 1
Cd1 Cd 0.000 0.250 0.875 1
Cd2 Cd 0.120 0.048 0.672 1
# total energy	-78.55	eV/cell
# E_form	-0.066	eV/atom


Record 2
# CsBeAs3 (PBE-GGA, relaxed)
data_CsBeAs3
_chemical_formula_sum 'Cs1 Be1 As3'
_space_group_name_H-M_alt 'P m -3 m'
_space_group_IT_number 221
_space_group_name_Hall '-P 4 2 3'
_cell_length_a 4.884
_cell_length_b 4.884
_cell_length_c 4.884
_cell_angle_alpha 90.00
_cell_angle_beta 90.00
_cell_angle_gamma 90.00
loop_
_atom_site_label
_atom_site_type_symbol
_atom_site_fract_x
_atom_site_fract_y
_atom_site_fract_z
_atom_site_occupancy
Cs1 Cs 0.000 0.000 0.000 1
Be1 Be 0.500 0.500 0.500 1
As1 As 0.000 0.500 0.500 1
# total energy	-16.76	eV/cell
# offset from the most stable computed form	0.00	eV per formula unit
# E_form	0.354	eV/atom


Record 3
# HoZr5Al3 (PBE-GGA, relaxed)
data_HoZr5Al3
_chemical_formula_sum 'Ho2 Zr10 Al6'
_space_group_name_H-M_alt 'P 63/m c m'
_space_group_IT_number 193
_space_group_name_Hall '-P 6c 2'
_cell_length_a 8.5737
_cell_length_b 8.5737
_cell_length_c 6.0149
_cell_angle_alpha 90.00
_cell_angle_beta 90.00
_cell_angle_gamma 120.00
loop_
_atom_site_label
_atom_site_type_symbol
_atom_site_fract_x
_atom_site_fract_y
_atom_site_fract_z
_atom_site_occupancy
Ho1 Ho 0.0000 0.0000 0.0000 1
Zr1 Zr 0.0000 0.3358 0.2500 1
Zr2 Zr 0.3333 0.6667 0.0000 1
Al1 Al 0.0000 0.3382 0.7500 1
# total energy	-122.75	eV/cell
# E_form	-0.314	eV/atom


Record 4
# In2NiGeBi (PBE-GGA, relaxed)
data_In2NiGeBi
_chemical_formula_sum 'In2 Ni1 Ge1 Bi1'
_space_group_name_H-M_alt 'P 4/m m m'
_space_group_IT_number 123
_space_group_name_Hall '-P 4 2'
_cell_length_a 5.196
_cell_length_b 5.196
_cell_length_c 4.481
_cell_angle_alpha 90.00
_cell_angle_beta 90.00
_cell_angle_gamma 90.00
loop_
_atom_site_label
_atom_site_type_symbol
_atom_site_fract_x
_atom_site_fract_y
_atom_site_fract_z
_atom_site_occupancy
In1 In 0.000 0.500 0.000 1
Ni1 Ni 0.000 0.000 0.000 1
Ge1 Ge 0.000 0.000 0.500 1
Bi1 Bi 0.500 0.500 0.500 1
# total energy	-19.40	eV/cell
# E_form	0.071	eV/atom


Record 5
# Ta2CuAg (PBE-GGA, relaxed)
data_Ta2CuAg
_chemical_formula_sum 'Ta8 Cu4 Ag4'
_space_group_name_H-M_alt 'F m -3 m'
_space_group_IT_number 225
_space_group_name_Hall '-F 4 2 3'
_cell_length_a 6.441
_cell_length_b 6.441
_cell_length_c 6.441
_cell_angle_alpha 90.00
_cell_angle_beta 90.00
_cell_angle_gamma 90.00
loop_
_atom_site_label
_atom_site_type_symbol
_atom_site_fract_x
_atom_site_fract_y
_atom_site_fract_z
_atom_site_occupancy
Ta1 Ta 0.250 0.250 0.250 1
Cu1 Cu 0.000 0.000 0.000 1
Ag1 Ag 0.000 0.000 0.500 1
# total energy	-115.10	eV/cell
# offset from the most stable computed form	1.40	eV per formula unit
# E_form	0.470	eV/atom


Record 6
# PmPuAgIr (PBE-GGA, relaxed)
data_PmPuAgIr
_chemical_formula_sum 'Pm4 Pu4 Ag4 Ir4'
_space_group_name_H-M_alt 'F -4 3 m'
_space_group_IT_number 216
_space_group_name_Hall 'F -4 2 3'
_cell_length_a 7.142
_cell_length_b 7.142
_cell_length_c 7.142
_cell_angle_alpha 90.00
_cell_angle_beta 90.00
_cell_angle_gamma 90.00
loop_
_atom_site_label
_atom_site_type_symbol
_atom_site_fract_x
_atom_site_fract_y
_atom_site_fract_z
_atom_site_occupancy
Pm1 Pm 0.000 0.000 0.000 1
Pu1 Pu 0.000 0.000 0.500 1
Ag1 Ag 0.250 0.250 0.750 1
Ir1 Ir 0.250 0.250 0.250 1
# total energy	-127.90	eV/cell
# E_form	-0.295	eV/atom